A relaxed structure of Li4V3CrO8, computed with PBE+U.

a = 5.983 Å, b = 5.179 Å, c = 5.177 Å
α = 70.55°, β = 90.00°, γ = 90.00°
Last column: magnetic moment on the atom in μB.
Fractional coordinates of all 16 atoms:
1 O 0.747 0.272 0.241  -0.01
2 O 0.253 0.272 0.241  -0.01
3 V 0.250 0.500 0.500  1.90
4 O 0.500 0.274 0.745  -0.01
5 V 0.750 0.500 0.500  1.90
6 Li 0.254 0.000 0.000  0.00
7 Cr 0.500 0.500 0.000  3.01
8 Li 0.000 0.000 0.500  -0.01
9 O 0.000 0.270 0.744  -0.01
10 V 0.000 0.500 0.000  1.90
11 Li 0.746 0.000 0.000  0.00
12 O 0.747 0.728 0.759  -0.01
13 O 0.500 0.726 0.255  -0.01
14 Li 0.500 0.000 0.500  -0.01
15 O 0.253 0.728 0.759  -0.01
16 O 0.000 0.730 0.256  -0.01

Values from the calculation:
E   -6.918 eV per atom
Fermi-level density of states   0.0 states/eV per cell

=====

A relaxed structure of Li2VCr3O8, computed with PBE+U.

a = 5.272 Å, b = 7.797 Å, c = 7.840 Å
α = 95.08°, β = 94.65°, γ = 108.92°
Last column: magnetic moment on the atom in μB.
Fractional coordinates of all 28 atoms:
1 O 0.679 0.396 0.716  -0.03
2 V 0.925 0.424 0.310  0.16
3 O 0.308 0.598 0.269  -0.02
4 Cr 0.791 0.317 0.936  2.99
5 O 0.917 0.639 0.458  -0.03
6 O 0.664 0.968 0.391  -0.05
7 Li 0.018 0.005 0.991  0.00
8 O 0.073 0.362 0.514  -0.04
9 Cr 0.542 0.064 0.187  2.98
10 O 0.170 0.889 0.205  -0.03
11 O 0.559 0.838 0.039  -0.04
12 V 0.216 0.681 0.058  0.16
13 Cr 0.048 0.569 0.685  2.98
14 O 0.828 0.106 0.786  -0.06
15 O 0.080 0.776 0.868  -0.04
16 Li 0.509 0.510 0.525  0.00
17 O 0.921 0.229 0.154  -0.04
18 Cr 0.453 0.932 0.809  3.00
19 O 0.334 0.031 0.606  -0.07
20 O 0.841 0.538 0.116  -0.03
21 Cr 0.699 0.180 0.564  3.00
22 Cr 0.301 0.817 0.436  3.00
23 O 0.585 0.292 0.351  -0.04
24 O 0.413 0.716 0.640  -0.04
25 Li 0.776 0.770 0.266  0.00
26 Li 0.245 0.227 0.749  0.00
27 O 0.428 0.145 0.966  -0.03
28 O 0.175 0.480 0.904  -0.04

Values from the calculation:
E   -7.181 eV per atom
ΔE to the lowest computed polymorph   0.0637 eV per atom

=====

A relaxed structure of LiVCrO4, computed with PBE+U.

a = 5.279 Å, b = 5.906 Å, c = 7.750 Å
α = 98.24°, β = 108.41°, γ = 92.52°
Last column: magnetic moment on the atom in μB.
Fractional coordinates of all 21 atoms:
1 Li 0.329 0.346 0.331  0.00
2 O 0.892 0.281 0.179  -0.04
3 O 0.230 0.628 0.511  -0.03
4 O 0.772 0.370 0.493  -0.03
5 O 0.140 0.182 0.837  -0.01
6 Cr 0.846 0.581 0.328  2.99
7 Li 0.002 0.996 0.002  0.00
8 Li 0.668 0.661 0.665  0.00
9 V 0.519 0.259 0.992  1.07
10 O 0.863 0.817 0.168  -0.03
11 O 0.561 0.963 0.837  -0.02
12 Cr 0.148 0.416 0.672  2.98
13 V 0.807 0.076 0.341  1.07
14 O 0.101 0.717 0.817  -0.04
15 Cr 0.486 0.753 0.005  2.98
16 O 0.541 0.470 0.841  -0.07
17 O 0.466 0.517 0.163  -0.03
18 O 0.200 0.135 0.507  -0.05
19 O 0.442 0.049 0.158  -0.04
20 O 0.794 0.864 0.494  -0.06
21 V 0.193 0.920 0.662  1.07

Values from the calculation:
E   -7.242 eV per atom
ΔE to the lowest computed polymorph   0.0593 eV per atom

=====

A relaxed structure of Li4V3CrO8, computed with PBE+U.

a = 5.178 Å, b = 5.981 Å, c = 5.983 Å
α = 120.01°, β = 90.00°, γ = 73.26°
Last column: magnetic moment on the atom in μB.
Fractional coordinates of all 16 atoms:
1 V 0.500 0.000 0.250  1.90
2 O 0.272 0.246 0.123  -0.01
3 O 0.728 0.754 0.377  -0.01
4 Cr 0.500 0.500 0.250  3.01
5 Li 0.000 0.500 0.006  0.00
6 Li 0.997 0.006 0.003  -0.01
7 O 0.728 0.758 0.879  -0.01
8 V 0.500 0.000 0.750  1.90
9 O 0.728 0.259 0.882  -0.01
10 Li 0.003 0.994 0.497  -0.01
11 O 0.272 0.242 0.621  -0.01
12 O 0.272 0.741 0.618  -0.01
13 O 0.728 0.259 0.377  -0.01
14 Li 0.000 0.500 0.494  0.00
15 V 0.500 0.500 0.750  1.90
16 O 0.272 0.741 0.123  -0.01

Values from the calculation:
E   -6.919 eV per atom
Fermi-level density of states   0.0 states/eV per cell

=====

A relaxed structure of Li2VCr3O8, computed with PBE+U.

a = 5.903 Å, b = 5.903 Å, c = 5.903 Å
α = 60.99°, β = 60.99°, γ = 60.99°
Last column: magnetic moment on the atom in μB.
Fractional coordinates of all 14 atoms:
1 V 0.500 0.500 0.500  0.11
2 Cr 0.500 0.500 0.000  2.99
3 Li 0.130 0.130 0.130  0.01
4 O 0.272 0.272 0.712  -0.04
5 Li 0.870 0.870 0.870  0.01
6 O 0.728 0.728 0.288  -0.04
7 O 0.264 0.264 0.264  -0.03
8 Cr 0.500 0.000 0.500  2.99
9 O 0.736 0.736 0.736  -0.03
10 Cr 0.000 0.500 0.500  2.99
11 O 0.272 0.712 0.272  -0.04
12 O 0.288 0.728 0.728  -0.04
13 O 0.728 0.288 0.728  -0.04
14 O 0.712 0.272 0.272  -0.04

Values from the calculation:
E   -7.244 eV per atom
ΔE to the lowest computed polymorph   0.0000 eV per atom

=====

A relaxed structure of Li4V5Cr3O16, computed with PBE+U.

a = 5.871 Å, b = 5.871 Å, c = 9.567 Å
α = 89.25°, β = 89.25°, γ = 61.14°
Last column: magnetic moment on the atom in μB.
Fractional coordinates of all 28 atoms:
1 O 0.669 0.172 0.095  -0.03
2 O 0.040 0.483 0.840  -0.05
3 V 0.663 0.663 0.484  1.90
4 V 0.337 0.337 0.992  1.12
5 Cr 0.344 0.830 0.212  2.98
6 Li 0.994 0.994 0.494  0.00
7 O 0.336 0.336 0.604  0.00
8 O 0.998 0.998 0.306  -0.04
9 O 0.172 0.669 0.095  -0.03
10 O 0.317 0.824 0.605  -0.06
11 O 0.477 0.477 0.844  -0.03
12 O 0.527 0.965 0.340  -0.03
13 V 0.659 0.162 0.715  1.10
14 Cr 0.166 0.166 0.714  2.96
15 O 0.824 0.317 0.605  -0.06
16 Cr 0.830 0.344 0.212  2.98
17 O 0.175 0.175 0.093  -0.06
18 Li 0.666 0.666 0.896  0.00
19 O 0.519 0.519 0.337  -0.06
20 V 0.830 0.830 0.216  1.06
21 O 0.829 0.829 0.608  -0.03
22 O 0.993 0.993 0.813  0.00
23 Li 0.334 0.334 0.394  0.01
24 O 0.965 0.527 0.340  -0.03
25 V 0.162 0.659 0.715  1.10
26 O 0.679 0.679 0.103  -0.05
27 O 0.483 0.040 0.840  -0.05
28 Li 0.005 0.005 0.997  0.00

Values from the calculation:
E   -7.282 eV per atom

=====

A relaxed structure of Li2VCr3O8, computed with PBE+U.

a = 5.910 Å, b = 5.935 Å, c = 5.955 Å
α = 118.85°, β = 90.00°, γ = 119.86°
Last column: magnetic moment on the atom in μB.
Fractional coordinates of all 14 atoms:
1 O 0.227 0.453 0.214  -0.03
2 O 0.225 0.977 0.204  -0.04
3 Cr 0.000 0.500 0.000  2.99
4 Cr 0.500 0.500 0.000  2.99
5 O 0.773 0.547 0.786  -0.03
6 V 0.000 0.000 0.000  0.14
7 O 0.753 0.977 0.204  -0.04
8 O 0.247 0.023 0.796  -0.04
9 O 0.731 0.463 0.210  -0.03
10 Cr 0.500 0.000 0.000  2.97
11 O 0.775 0.023 0.796  -0.04
12 Li 0.500 0.500 0.500  0.00
13 O 0.269 0.537 0.790  -0.03
14 Li 0.000 0.500 0.500  0.00

Values from the calculation:
E   -7.179 eV per atom
ΔE to the lowest computed polymorph   0.0652 eV per atom

=====

A relaxed structure of Li3V3Cr2O10, computed with PBE+U.

a = 5.124 Å, b = 5.164 Å, c = 7.846 Å
α = 73.32°, β = 73.92°, γ = 79.19°
Last column: magnetic moment on the atom in μB.
Fractional coordinates of all 18 atoms:
1 O 0.767 0.031 0.136  -0.02
2 Cr 0.986 0.106 0.310  2.97
3 Cr 0.014 0.894 0.690  2.97
4 O 0.233 0.969 0.864  -0.02
5 O 0.804 0.675 0.940  -0.02
6 Li 0.510 0.789 0.427  0.00
7 Li 0.000 0.500 0.500  0.00
8 V 0.500 0.000 0.000  1.91
9 Li 0.490 0.211 0.573  0.00
10 O 0.779 0.886 0.533  -0.02
11 O 0.221 0.114 0.467  -0.02
12 V 0.007 0.683 0.117  1.10
13 O 0.247 0.778 0.221  -0.06
14 O 0.204 0.527 0.672  -0.04
15 O 0.753 0.222 0.779  -0.06
16 O 0.796 0.473 0.328  -0.04
17 V 0.993 0.317 0.883  1.10
18 O 0.196 0.325 0.060  -0.02

Values from the calculation:
E   -7.134 eV per atom

=====

A relaxed structure of Li4V3CrO8, computed with PBE+U.

a = 5.178 Å, b = 5.179 Å, c = 5.982 Å
α = 90.06°, β = 106.71°, γ = 99.52°
Last column: magnetic moment on the atom in μB.
Fractional coordinates of all 16 atoms:
1 Li 0.003 0.753 0.129  -0.01
2 Li 0.000 0.243 0.378  0.00
3 O 0.272 0.128 0.690  -0.01
4 O 0.272 0.126 0.196  -0.01
5 O 0.730 0.370 0.057  -0.01
6 V 0.500 0.501 0.750  1.90
7 O 0.270 0.630 0.943  -0.01
8 Cr 0.500 0.000 0.500  3.01
9 Li 0.000 0.757 0.622  0.00
10 O 0.728 0.874 0.804  -0.01
11 V 0.500 0.000 0.000  1.89
12 O 0.726 0.368 0.556  -0.01
13 O 0.274 0.632 0.444  -0.01
14 O 0.728 0.872 0.310  -0.01
15 Li 0.997 0.247 0.871  -0.01
16 V 0.500 0.499 0.250  1.90

Values from the calculation:
E   -6.919 eV per atom
Fermi-level density of states   0.0 states/eV per cell

=====

A relaxed structure of Li4V3Cr2O10, computed with PBE+U.

a = 5.156 Å, b = 5.170 Å, c = 7.893 Å
α = 71.53°, β = 71.49°, γ = 79.64°
Last column: magnetic moment on the atom in μB.
Fractional coordinates of all 19 atoms:
1 O 0.224 0.973 0.859  -0.02
2 V 0.003 0.692 0.110  1.90
3 Li 0.967 0.495 0.511  0.00
4 O 0.234 0.127 0.456  -0.01
5 O 0.776 0.455 0.333  -0.03
6 Cr 0.999 0.100 0.307  2.99
7 Cr 0.004 0.901 0.690  2.97
8 V 0.501 0.005 0.995  1.91
9 O 0.225 0.328 0.054  -0.01
10 O 0.782 0.667 0.946  -0.01
11 O 0.208 0.531 0.671  -0.06
12 Li 0.505 0.774 0.437  0.00
13 Li 0.485 0.385 0.233  0.00
14 O 0.763 0.220 0.766  -0.03
15 O 0.256 0.773 0.227  -0.02
16 V 0.003 0.320 0.883  1.10
17 O 0.770 0.071 0.129  -0.01
18 O 0.781 0.874 0.537  -0.02
19 Li 0.501 0.190 0.587  0.00

Values from the calculation:
E   -7.003 eV per atom

=====

A relaxed structure of Li2VCr2O6, computed with PBE+U.

a = 7.860 Å, b = 7.860 Å, c = 6.018 Å
α = 78.19°, β = 78.19°, γ = 69.64°
Last column: magnetic moment on the atom in μB.
Fractional coordinates of all 33 atoms:
1 O 0.156 0.500 0.060  -0.05
2 O 0.825 0.483 0.400  -0.05
3 V 0.000 0.000 0.500  1.06
4 Li 0.668 0.001 0.321  0.00
5 O 0.169 0.827 0.722  -0.01
6 O 0.178 0.178 0.931  -0.04
7 Li 0.001 0.668 0.321  0.00
8 O 0.173 0.831 0.278  -0.01
9 V 0.336 0.664 0.500  1.06
10 Cr 0.998 0.670 0.836  2.99
11 O 0.483 0.825 0.400  -0.05
12 O 0.175 0.517 0.600  -0.05
13 V 0.664 0.336 0.500  1.06
14 Cr 0.330 0.002 0.164  2.99
15 O 0.496 0.496 0.728  0.00
16 O 0.844 0.500 0.940  -0.05
17 O 0.500 0.156 0.060  -0.05
18 Cr 0.670 0.998 0.836  2.99
19 O 0.500 0.844 0.940  -0.05
20 O 0.504 0.504 0.272  0.00
21 Li 0.332 0.999 0.679  0.00
22 O 0.151 0.151 0.410  -0.04
23 Li 0.332 0.668 0.000  0.00
24 O 0.849 0.849 0.590  -0.04
25 Li 0.668 0.332 0.000  0.00
26 O 0.831 0.173 0.278  -0.01
27 O 0.822 0.822 0.069  -0.04
28 Cr 0.002 0.330 0.164  2.99
29 Li 0.999 0.332 0.679  0.00
30 Cr 0.664 0.664 0.163  2.99
31 O 0.827 0.169 0.722  -0.01
32 O 0.517 0.175 0.600  -0.05
33 Cr 0.336 0.336 0.837  2.99

Values from the calculation:
E   -7.107 eV per atom
ΔE to the lowest computed polymorph   0.0000 eV per atom

=====

A relaxed structure of Li4V3CrO8, computed with PBE+U.

a = 5.980 Å, b = 5.980 Å, c = 5.980 Å
α = 60.02°, β = 60.02°, γ = 60.02°
Last column: magnetic moment on the atom in μB.
Fractional coordinates of all 16 atoms:
1 Li 0.500 0.500 0.500  -0.01
2 O 0.759 0.254 0.759  -0.01
3 O 0.254 0.759 0.759  -0.01
4 Cr 0.000 0.000 0.000  3.01
5 O 0.257 0.257 0.257  -0.01
6 Li 0.500 0.000 0.000  0.00
7 Li 0.000 0.500 0.000  0.00
8 V 0.000 0.500 0.500  1.90
9 O 0.759 0.759 0.254  -0.01
10 O 0.241 0.241 0.746  -0.01
11 O 0.241 0.746 0.241  -0.01
12 O 0.743 0.743 0.743  -0.01
13 Li 0.000 0.000 0.500  0.00
14 O 0.746 0.241 0.241  -0.01
15 V 0.500 0.000 0.500  1.90
16 V 0.500 0.500 0.000  1.90

Values from the calculation:
E   -6.919 eV per atom
Fermi-level density of states   0.0 states/eV per cell